Entry 1:
First-principles (PBE-GGA) data for a relaxed UMnCl crystal, as listed in the Alexandria database.

Structure (POSCAR):
```
UMnCl
1.0
11.125 -1.643 0.000
11.125 1.643 0.000
-0.818 0.000 7.482
U Mn Cl
4 4 4
Cartesian
3.184 0.000 3.175
2.765 0.000 6.991
18.666 0.000 0.490
18.248 0.000 4.307
4.674 0.000 4.612
5.144 0.000 0.873
16.288 0.000 6.609
16.758 0.000 2.870
1.026 0.000 5.039
8.538 0.000 6.194
12.894 0.000 1.288
20.405 0.000 2.442
```

Results
- formation energy without anion corrections (meV per atom) = -427

---

Entry 2:
First-principles (PBE-GGA) data for a relaxed MnVCl6 crystal, as listed in the Alexandria database.

Structure (POSCAR):
```
MnVCl6
1.0
3.041 -6.094 0.000
3.041 6.094 0.000
-2.080 0.000 5.716
Mn V Cl
1 1 6
Cartesian
0.000 0.000 0.000
2.001 0.000 2.858
0.995 1.636 1.427
0.140 0.000 4.165
0.995 -1.636 1.427
3.006 1.636 4.290
3.862 0.000 1.552
3.006 -1.636 4.290
```

Results
- formation energy without anion corrections (meV per atom) = -1053

---

Entry 3:
First-principles (PBE-GGA) data for a relaxed Mn2VCl crystal, as listed in the Alexandria database.

Structure (POSCAR):
```
Mn2VCl
1.0
-3.505 3.505 2.596
3.505 -3.505 2.596
3.505 3.505 -2.596
Mn V Cl
4 2 2
Cartesian
5.258 1.588 -0.649
1.588 1.753 0.649
-1.753 1.917 1.947
1.917 1.753 3.245
3.505 0.000 1.298
0.000 0.000 2.596
0.000 0.000 0.000
0.000 3.505 1.298
```

Results
- formation energy without anion corrections (meV per atom) = 540
- energy above the lowest structure with this stoichiometry (eV per atom) = 0.000

---

What did the first record say?
First-principles (PBE-GGA) data for a relaxed UMnCl crystal, as listed in the Alexandria database.

Structure (POSCAR):
```
UMnCl
1.0
11.125 -1.643 0.000
11.125 1.643 0.000
-0.818 0.000 7.482
U Mn Cl
4 4 4
Cartesian
3.184 0.000 3.175
2.765 0.000 6.991
18.666 0.000 0.490
18.248 0.000 4.307
4.674 0.000 4.612
5.144 0.000 0.873
16.288 0.000 6.609
16.758 0.000 2.870
1.026 0.000 5.039
8.538 0.000 6.194
12.894 0.000 1.288
20.405 0.000 2.442
```

Results
- formation energy without anion corrections (meV per atom) = -427